# 1
First-principles (meta-GGA SCAN) data for a PBEsol-optimized structure of SrBeP2, as listed in the Alexandria database.

Formation enthalpy at 0 K in kJ/mol of formula units: 26
E in eV per atom: -11.790
Fermi-level density of states in states/eV/cell: 1.66

a b c (Å): 3.369 3.369 6.204
angles (deg): 90.00 90.00 90.00
Atoms (fractional coordinates):
P 0.000 0.000 0.994
P 0.500 0.500 0.169
Be 0.500 0.500 0.839
Sr 0.000 0.000 0.498

# 2
First-principles (meta-GGA SCAN) data for a PBEsol-optimized structure of TaBeP2, as listed in the Alexandria database.

Formation enthalpy at 0 K in kJ/mol of formula units: -180
E in eV per atom: -23.401
Fermi-level density of states in states/eV/cell: 0.74

a b c (Å): 3.301 3.423 5.095
angles (deg): 90.00 108.90 90.00
Atoms (fractional coordinates):
Be 0.743 0.500 0.486
P 0.960 0.500 0.920
P 0.249 0.000 0.499
Ta 0.548 0.000 0.095

# 3
First-principles (meta-GGA SCAN) data for a PBEsol-optimized structure of TaBe2P, as listed in the Alexandria database.

Formation enthalpy at 0 K in kJ/mol of formula units: 53
E in eV per atom: -21.285
Fermi-level density of states in states/eV/cell: 1.59

a b c (Å): 2.699 4.651 4.651
angles (deg): 117.38 97.49 97.49
Atoms (fractional coordinates):
Be 0.000 0.500 0.000
Be 0.000 0.000 0.500
Ta 0.500 0.500 0.500
P 0.500 0.000 0.000

# 4
First-principles (meta-GGA SCAN) data for a PBEsol-optimized structure of TaBe2P, as listed in the Alexandria database.

Formation enthalpy at 0 K in kJ/mol of formula units: -58
E in eV per atom: -21.573
Fermi-level density of states in states/eV/cell: 0.88

a b c (Å): 3.070 3.070 5.088
angles (deg): 90.00 90.00 90.00
Atoms (fractional coordinates):
Be 0.500 0.500 0.237
Be 0.000 0.000 0.050
Ta 0.500 0.500 0.735
P 0.000 0.000 0.478

# 5
First-principles (meta-GGA SCAN) data for a PBEsol-optimized structure of TaBeP2, as listed in the Alexandria database.

Formation enthalpy at 0 K in kJ/mol of formula units: -63
E in eV per atom: -23.096
Fermi-level density of states in states/eV/cell: 1.63

a b c (Å): 3.219 3.219 4.979
angles (deg): 90.00 90.00 90.00
Atoms (fractional coordinates):
Ta 0.500 0.500 0.000
P 0.000 0.000 0.731
P 0.000 0.000 0.269
Be 0.500 0.500 0.500

# 6
First-principles (meta-GGA SCAN) data for a PBEsol-optimized structure of TaBe2P, as listed in the Alexandria database.

Formation enthalpy at 0 K in kJ/mol of formula units: 52
E in eV per atom: -21.288
Fermi-level density of states in states/eV/cell: 2.59

a b c (Å): 4.783 5.172 5.172
angles (deg): 77.66 62.46 62.46
Atoms (fractional coordinates):
P 0.250 0.500 0.500
P 0.500 0.000 0.000
Be 0.375 0.449 0.051
Be 0.574 0.051 0.551
Be 0.875 0.551 0.949
Be 0.176 0.949 0.449
Ta 0.750 0.500 0.500
Ta 0.000 0.000 0.000